[1]
{"formula": "MnGaCoAuSeO", "functional": "PBE+U", "state": "relaxed", "e_above_lowest_polymorph_mev_per_atom": 112, "space_group": "Cm", "total_energy_ev_per_atom": -4.8940, "cell": [[8.861, -1.672, 0.000], [8.861, 1.672, 0.000], [-0.459, 0.000, 3.793]], "species": ["Mn", "Ga", "Co", "Au", "Se", "O"], "frac_coords": [[0.000, 0.000, 0.000], [0.212, 0.212, 0.879], [0.608, 0.608, 0.574], [0.756, 0.756, 0.408], [0.906, 0.906, 0.448], [0.571, 0.571, 0.038]]}

---

[2]
{"formula": "MnGaCoAuSeO", "functional": "PBE+U", "state": "relaxed", "e_above_lowest_polymorph_mev_per_atom": 65, "space_group": "Cm", "total_energy_ev_per_atom": -4.9419, "cell": [[5.635, -1.880, 0.000], [5.635, 1.880, 0.000], [-2.658, 0.000, 5.160]], "species": ["Mn", "Ga", "Co", "Au", "Se", "O"], "frac_coords": [[0.000, 0.000, 0.000], [0.327, 0.327, 0.422], [0.745, 0.745, 0.077], [0.998, 0.998, 0.484], [0.254, 0.254, 0.786], [0.570, 0.570, 0.044]]}

---

[3]
{"formula": "MnGaCoAuSeO", "functional": "PBE+U", "state": "relaxed", "e_above_lowest_polymorph_mev_per_atom": 0, "space_group": "Pmm2", "total_energy_ev_per_atom": -5.0064, "cell": [[3.955, 0.000, 0.000], [0.000, 4.178, 0.000], [0.000, 0.000, 6.777]], "species": ["Mn", "Ga", "Co", "Au", "Se", "O"], "frac_coords": [[0.000, 0.000, 0.000], [0.000, 0.500, 0.655], [0.500, 0.500, 0.040], [0.500, 0.000, 0.677], [0.500, 0.000, 0.260], [0.000, 0.500, 0.964]]}

---

[4]
{"formula": "MnGaCoAuSeO", "functional": "PBE+U", "state": "relaxed", "e_above_lowest_polymorph_mev_per_atom": 98, "space_group": "Amm2", "total_energy_ev_per_atom": -4.9083, "cell": [[4.091, 0.000, 0.000], [0.000, 1.753, 8.085], [0.000, -1.753, 8.085]], "species": ["Mn", "Ga", "Co", "Au", "Se", "O"], "frac_coords": [[0.000, 0.000, 0.000], [0.500, 0.338, 0.338], [0.500, 0.578, 0.578], [0.000, 0.829, 0.829], [0.000, 0.656, 0.656], [0.500, 0.016, 0.016]]}